Here is La2ErBiO6 after structural relaxation from Alexandria via LeMat-Bulk. Energies are from PBE.

The structure in POSCAR format:
```
La2ErBiO6
1.0
-1.8476 -5.3632 0.4417
1.5936 -0.9844 -5.2876
5.0606 -1.5933 1.8218
O La Er Bi
6 2 1 1
Cartesian
0.2528 -4.6374 -0.5205
2.8303 -5.4489 0.4074
3.0392 -2.1244 -1.6641
1.0645 -5.1387 -3.2136
-0.3684 -1.0693 0.0881
3.6419 -5.9503 -2.2857
-1.0242 -5.7779 -2.2085
0.7093 -6.0824 1.3462
-1.0615 -3.0812 0.2537
2.2943 -4.2868 -1.4860
```

Computed properties:
The value obtained for the raw formation energy is -2.728 eV per atom. The value obtained for the total moment is 0.000 μB/atom. The total energy is -0.277 Ha/atom. The space-group type is P4mm (99). As for the density of states at the Fermi level: 0.00 states/eV/cell.